# 1
VASP calculation (GGA-PBE) on a relaxed structure of TbHoIr.

**ΔE_f**: -0.683 eV per atom
**Offset from the most stable computed form**: 0.07 eV/f.u.

a = 7.418 Å, b = 7.418 Å, c = 4.560 Å
α = 90.00°, β = 90.00°, γ = 120.00°
Fractional positions:
Tb 0.000 0.590 0.000
Tb 0.410 0.410 0.000
Tb 0.590 0.000 0.000
Ho 0.000 0.261 0.500
Ho 0.261 0.000 0.500
Ho 0.739 0.739 0.500
Ir 0.000 0.000 0.000
Ir 0.333 0.667 0.500
Ir 0.667 0.333 0.500

# 2
VASP calculation (GGA-PBE) on a relaxed structure of AcEuPBr.

**ΔE_f (raw)**: -1.243 eV per atom

a = 5.332 Å, b = 5.332 Å, c = 5.332 Å
α = 60.00°, β = 60.00°, γ = 60.00°
Fractional positions:
Ac 0.000 0.000 0.000
Eu 0.500 0.500 0.500
P 0.750 0.750 0.750
Br 0.250 0.250 0.250

# 3
VASP calculation (GGA-PBE) on a relaxed structure of BaGeRu2N.

**ΔE_f (raw)**: -0.295 eV per atom

a = 6.080 Å, b = 6.080 Å, c = 7.345 Å
α = 90.00°, β = 90.00°, γ = 138.91°
Fractional positions:
Ba 0.052 0.948 0.750
Ba 0.948 0.052 0.250
Ge 0.228 0.772 0.250
Ge 0.772 0.228 0.750
Ru 0.340 0.660 0.560
Ru 0.340 0.660 0.940
Ru 0.660 0.340 0.060
Ru 0.660 0.340 0.440
N 0.500 0.500 0.000
N 0.500 0.500 0.500

# 4
VASP calculation (GGA-PBE) on a relaxed structure of TcW.

**ΔE_f**: 0.136 eV per atom
**Offset from the most stable computed form**: 0.14 eV/f.u.

a = 2.724 Å, b = 2.724 Å, c = 8.819 Å
α = 90.00°, β = 90.00°, γ = 109.07°
Fractional positions:
Tc 0.250 0.750 0.877
Tc 0.750 0.250 0.123
W 0.250 0.750 0.372
W 0.750 0.250 0.628

# 5
VASP calculation (GGA-PBE) on a relaxed structure of Ac5Nd3Si12.

**ΔE_f (raw)**: -0.066 eV per atom

a = 14.981 Å, b = 14.981 Å, c = 14.981 Å
α = 109.47°, β = 109.47°, γ = 109.47°
Fractional positions:
Ac 0.000 0.000 0.000
Ac 0.000 0.000 0.500
Ac 0.000 0.500 0.000
Ac 0.000 0.500 0.500
Ac 0.125 0.750 0.875
Ac 0.125 0.875 0.250
Ac 0.250 0.125 0.875
Ac 0.250 0.625 0.375
Ac 0.375 0.250 0.625
Ac 0.375 0.625 0.750
Ac 0.500 0.000 0.000
Ac 0.500 0.000 0.500
Ac 0.500 0.500 0.000
Ac 0.500 0.500 0.500
Ac 0.625 0.375 0.250
Ac 0.625 0.750 0.375
Ac 0.750 0.375 0.625
Ac 0.750 0.875 0.125
Ac 0.875 0.125 0.750
Ac 0.875 0.250 0.125
Nd 0.125 0.250 0.375
Nd 0.125 0.375 0.750
Nd 0.250 0.375 0.125
Nd 0.250 0.875 0.625
Nd 0.375 0.125 0.250
Nd 0.375 0.750 0.125
Nd 0.625 0.250 0.875
Nd 0.625 0.875 0.750
Nd 0.750 0.125 0.375
Nd 0.750 0.625 0.875
Nd 0.875 0.625 0.250
Nd 0.875 0.750 0.625
Si 0.067 0.738 0.637
Si 0.067 0.828 0.430
Si 0.070 0.672 0.433
Si 0.070 0.899 0.637
Si 0.101 0.238 0.172
Si 0.101 0.363 0.930
Si 0.137 0.238 0.567
Si 0.137 0.399 0.570
Si 0.172 0.101 0.238
Si 0.172 0.570 0.933
Si 0.238 0.172 0.101
Si 0.238 0.567 0.137
Si 0.262 0.363 0.933
Si 0.262 0.399 0.328
Si 0.328 0.262 0.399
Si 0.328 0.567 0.930
Si 0.363 0.930 0.101
Si 0.363 0.933 0.262
Si 0.399 0.328 0.262
Si 0.399 0.570 0.137
Si 0.430 0.067 0.828
Si 0.430 0.863 0.601
Si 0.433 0.070 0.672
Si 0.433 0.863 0.762
Si 0.567 0.137 0.238
Si 0.567 0.930 0.328
Si 0.570 0.137 0.399
Si 0.570 0.933 0.172
Si 0.601 0.430 0.863
Si 0.601 0.672 0.738
Si 0.637 0.067 0.738
Si 0.637 0.070 0.899
Si 0.672 0.433 0.070
Si 0.672 0.738 0.601
Si 0.738 0.601 0.672
Si 0.738 0.637 0.067
Si 0.762 0.433 0.863
Si 0.762 0.828 0.899
Si 0.828 0.430 0.067
Si 0.828 0.899 0.762
Si 0.863 0.601 0.430
Si 0.863 0.762 0.433
Si 0.899 0.637 0.070
Si 0.899 0.762 0.828
Si 0.930 0.101 0.363
Si 0.930 0.328 0.567
Si 0.933 0.172 0.570
Si 0.933 0.262 0.363

# 6
VASP calculation (GGA-PBE) on a relaxed structure of TmSc8In2.

**ΔE_f**: -0.024 eV per atom

a = 8.366 Å, b = 8.366 Å, c = 5.318 Å
α = 105.05°, β = 105.05°, γ = 120.76°
Fractional positions:
Tm 0.000 0.000 0.000
Sc 0.098 0.333 0.654
Sc 0.210 0.790 0.000
Sc 0.333 0.098 0.654
Sc 0.425 0.425 0.208
Sc 0.575 0.575 0.792
Sc 0.667 0.902 0.346
Sc 0.790 0.210 0.000
Sc 0.902 0.667 0.346
In 0.309 0.691 0.500
In 0.691 0.309 0.500

# 7
VASP calculation (GGA-PBE) on a relaxed structure of LuPu2As.

**ΔE_f**: -0.208 eV per atom

a = 9.812 Å, b = 9.812 Å, c = 9.812 Å
α = 21.62°, β = 21.62°, γ = 21.62°
Fractional positions:
Lu 0.000 0.000 0.000
Pu 0.233 0.233 0.233
Pu 0.767 0.767 0.767
As 0.500 0.500 0.500

# 8
VASP calculation (GGA-PBE) on a relaxed structure of LaNCl3.

**Offset from the most stable computed form**: 0.00 eV/f.u.
**ΔE_f (raw)**: -1.890 eV per atom

a = 4.479 Å, b = 8.570 Å, c = 9.929 Å
α = 74.76°, β = 84.73°, γ = 74.92°
Fractional positions:
La 0.000 0.000 0.000
La 0.265 0.517 0.874
N 0.060 0.220 0.422
N 0.200 0.295 0.452
Cl 0.114 0.866 0.768
Cl 0.152 0.651 0.107
Cl 0.446 0.179 0.828
Cl 0.482 0.964 0.176
Cl 0.782 0.554 0.698
Cl 0.819 0.339 0.046

# 9
VASP calculation (GGA-PBE) on a relaxed structure of LiReCl3.

**Offset from the most stable computed form**: 0.00 eV/f.u.
**ΔE_f (raw)**: -0.176 eV per atom

a = 4.878 Å, b = 4.878 Å, c = 4.878 Å
α = 90.00°, β = 90.00°, γ = 90.00°
Fractional positions:
Li 0.000 0.000 0.000
Re 0.500 0.500 0.500
Cl 0.000 0.500 0.500
Cl 0.500 0.000 0.500
Cl 0.500 0.500 0.000

# 10
VASP calculation (GGA-PBE) on a relaxed structure of PSe2N2.

**Offset from the most stable computed form**: 0.00 eV/f.u.
**ΔE_f (raw)**: 0.911 eV per atom

a = 3.491 Å, b = 3.491 Å, c = 6.507 Å
α = 90.00°, β = 90.00°, γ = 90.00°
Fractional positions:
P 0.000 0.000 0.000
Se 0.000 0.000 0.500
Se 0.500 0.500 0.500
N 0.000 0.500 0.000
N 0.500 0.000 0.000

# 11
VASP calculation (GGA-PBE) on a relaxed structure of SrTiBr2.

**Offset from the most stable computed form**: 0.28 eV/f.u.
**ΔE_f (raw)**: -0.610 eV per atom

a = 9.352 Å, b = 9.352 Å, c = 9.352 Å
α = 145.60°, β = 145.60°, γ = 49.44°
Fractional positions:
Sr 0.000 0.000 0.000
Sr 0.750 0.250 0.500
Ti 0.250 0.750 0.500
Ti 0.500 0.500 0.000
Br 0.177 0.625 0.052
Br 0.375 0.427 0.552
Br 0.573 0.125 0.948
Br 0.875 0.823 0.448

# 12
VASP calculation (GGA-PBE) on a relaxed structure of V5Cr6Mo.

**ΔE_f**: -0.085 eV per atom

a = 6.568 Å, b = 6.568 Å, c = 5.868 Å
α = 90.00°, β = 90.00°, γ = 143.28°
Fractional positions:
V 0.000 0.000 0.000
V 0.331 0.669 0.500
V 0.333 0.667 0.000
V 0.667 0.333 0.000
V 0.669 0.331 0.500
Cr 0.168 0.832 0.248
Cr 0.168 0.832 0.752
Cr 0.500 0.500 0.246
Cr 0.500 0.500 0.754
Cr 0.832 0.168 0.248
Cr 0.832 0.168 0.752
Mo 0.000 0.000 0.500

Energy in eV/atom, matching the order above: -6.706 -6.609 -6.978 -11.524 -5.062 -5.533 -9.667 -5.649 -4.156 -4.894 -3.840 -9.599